The following is a DFT calculation (PBE) of crystalline BeCoPb2 at its relaxed geometry.

a = 3.3372 Å, b = 3.3523 Å, c = 7.1882 Å
α = 75.24°, β = 90.00°, γ = 90.00°
With the nearest neighbours (Å) after each atom.
Sites, in units of the cell vectors:
Pb 0.0000 0.0618 0.9892  2 Be 2.70, 4 Co 2.78-3.01
Pb 0.0000 0.4382 0.5108  2 Be 2.70, 4 Co 2.78-3.01
Be 0.5000 0.2500 0.2500  4 Pb 2.70
Co 0.5000 0.7500 0.7500  8 Pb 2.78-3.01

Values from the calculation:
Space group: P2/m
Total moment: 0.861 μB per cell
ρ: 10.30 g/cm³
VASP energy: -3.88 eV/atom